Version 1
Crystalline Y3Re2 at its relaxed geometry, computed with PBE-GGA.

Lattice parameters (Å, degrees): 4.9007 4.9007 5.8551 90.00 90.00 120.00
With the nearest neighbours (Å) after each atom.
Fractional coordinates of all 5 atoms:
Y: 0.0000 0.0000 0.0000  6 Re 2.89
Y: 0.6667 0.3333 0.6362  1 Re 2.72
Y: 0.3333 0.6667 0.3638  1 Re 2.72
Re: 0.6667 0.3333 0.1005  4 Y 2.72-2.89
Re: 0.3333 0.6667 0.8995  4 Y 2.72-2.89

## Properties
volume: 121.8 Å³/cell
space group: P-3m1, No. 164


Version 2
Crystalline Y3Re2 at its relaxed geometry, computed with PBE-GGA.

Lattice parameters (Å, degrees): 13.3484 12.1052 6.1453 87.64 64.97 27.39
With the nearest neighbours (Å) after each atom.
Fractional coordinates of all 10 atoms:
Y: 0.5317 0.2564 0.7544  4 Re 3.03-3.35, 2 Y 3.20
Y: 0.4575 0.7544 0.2564  4 Re 3.03-3.35, 2 Y 3.20
Y: 0.9936 0.7183 0.7925  4 Re 3.03-3.35, 2 Y 3.20
Y: 0.4956 0.7925 0.7183  4 Re 3.03-3.35, 2 Y 3.20
Y: 0.9946 0.0054 0.0054  4 Re 3.10-3.15
Y: 0.2446 0.2554 0.2554  4 Re 3.10-3.15
Re: 0.2674 0.6734 0.3104  2 Re 2.43
Re: 0.7488 0.3104 0.6734  2 Re 2.43
Re: 0.5766 0.9826 0.5012  2 Re 2.43
Re: 0.9396 0.5012 0.9826  2 Re 2.43

## Properties
volume: 246.9 Å³/cell
space group: Fdd2, No. 43


Version 3
Crystalline Y3Re2 at its relaxed geometry, computed with PBE-GGA.

Lattice parameters (Å, degrees): 11.8971 11.8971 11.8971 16.47 16.47 16.47
With the nearest neighbours (Å) after each atom.
Fractional coordinates of all 5 atoms:
Y: 0.0000 0.0000 0.0000  6 Re 2.95
Y: 0.2138 0.2138 0.2138  3 Re 2.82
Y: 0.7862 0.7862 0.7862  3 Re 2.82
Re: 0.3956 0.3956 0.3956  6 Y 2.82-2.95
Re: 0.6044 0.6044 0.6044  6 Y 2.82-2.95

## Properties
volume: 118.1 Å³/cell
space group: R-3m, No. 166


Quick one: least stable of them? version 3


Version 1
Crystalline Y4Re5 at its relaxed geometry, computed with PBE-GGA.

Lattice parameters (Å, degrees): 7.4907 7.4907 7.4907 92.81 92.81 154.44
With the nearest neighbours (Å) after each atom.
Fractional coordinates of all 9 atoms:
Y: 0.0000 0.3078 0.3078  4 Re 2.80
Y: 0.0000 0.6922 0.6922  4 Re 2.80
Y: 0.6922 0.0000 0.6922  4 Re 2.80
Y: 0.3078 0.0000 0.3078  4 Re 2.80
Re: 0.0000 0.0000 0.0000  10 Re 2.98-3.31, 4 Y 3.18
Re: 0.6695 0.3305 0.0000  4 Y 2.80, 4 Re 2.88-2.98
Re: 0.6695 0.6695 0.3389  4 Y 2.80, 4 Re 2.88-2.98
Re: 0.3305 0.3305 0.6611  4 Y 2.80, 4 Re 2.88-2.98
Re: 0.3305 0.6695 0.0000  4 Y 2.80, 4 Re 2.88-2.98

## Properties
volume: 176.9 Å³/cell
space group: I4/mmm, No. 139


Version 2
Crystalline Y4Re5 at its relaxed geometry, computed with PBE-GGA.

Lattice parameters (Å, degrees): 8.5961 8.5961 5.5929 90.00 90.00 60.00
With the nearest neighbours (Å) after each atom.
Fractional coordinates of all 18 atoms:
Y: 0.0000 0.0000 0.0000  2 Y 2.80, 6 Re 3.12
Y: 0.0000 0.0000 0.5000  2 Y 2.80, 6 Re 3.12
Y: 0.6392 0.3608 0.2500  5 Re 2.71-2.96
Y: 0.0000 0.6392 0.2500  5 Re 2.71-2.96
Y: 0.3608 0.0000 0.2500  5 Re 2.71-2.96
Y: 0.3608 0.6392 0.7500  5 Re 2.71-2.96
Y: 0.0000 0.3608 0.7500  5 Re 2.71-2.96
Y: 0.6392 0.0000 0.7500  5 Re 2.71-2.96
Re: 0.3244 0.6756 0.2500  5 Y 2.71-2.96
Re: 0.0000 0.3244 0.2500  5 Y 2.71-2.96
Re: 0.6756 0.0000 0.2500  5 Y 2.71-2.96
Re: 0.6756 0.3244 0.7500  5 Y 2.71-2.96
Re: 0.0000 0.6756 0.7500  5 Y 2.71-2.96
Re: 0.3244 0.0000 0.7500  5 Y 2.71-2.96
Re: 0.3333 0.3333 0.0000  2 Re 2.80, 6 Y 3.09
Re: 0.6667 0.6667 0.5000  2 Re 2.80, 6 Y 3.09
Re: 0.6667 0.6667 0.0000  2 Re 2.80, 6 Y 3.09
Re: 0.3333 0.3333 0.5000  2 Re 2.80, 6 Y 3.09

## Properties
volume: 357.9 Å³/cell
space group: P6_3/mcm, No. 193


Quick one: least stable of them? version 2


Version 1
Crystalline Y5Re4 at its relaxed geometry, computed with PBE-GGA.

Lattice parameters (Å, degrees): 8.6955 8.6955 5.9643 90.00 90.00 60.00
With the nearest neighbours (Å) after each atom.
Fractional coordinates of all 18 atoms:
Y: 0.2913 0.7087 0.2500  7 Re 2.88-3.04
Y: 0.0000 0.2913 0.2500  7 Re 2.88-3.04
Y: 0.7087 0.0000 0.2500  7 Re 2.88-3.04
Y: 0.7087 0.2913 0.7500  7 Re 2.88-3.04
Y: 0.0000 0.7087 0.7500  7 Re 2.88-3.04
Y: 0.2913 0.0000 0.7500  7 Re 2.88-3.04
Y: 0.3333 0.3333 0.0000  2 Y 2.98, 6 Re 3.16
Y: 0.6667 0.6667 0.5000  2 Y 2.98, 6 Re 3.16
Y: 0.6667 0.6667 0.0000  2 Y 2.98, 6 Re 3.16
Y: 0.3333 0.3333 0.5000  2 Y 2.98, 6 Re 3.16
Re: 0.0000 0.0000 0.0000  6 Y 2.94, 2 Re 2.98
Re: 0.0000 0.0000 0.5000  6 Y 2.94, 2 Re 2.98
Re: 0.6405 0.3595 0.2500  9 Y 2.88-3.16
Re: 0.0000 0.6405 0.2500  9 Y 2.88-3.16
Re: 0.3595 0.0000 0.2500  9 Y 2.88-3.16
Re: 0.3595 0.6405 0.7500  9 Y 2.88-3.16
Re: 0.0000 0.3595 0.7500  9 Y 2.88-3.16
Re: 0.6405 0.0000 0.7500  9 Y 2.88-3.16

## Properties
volume: 390.6 Å³/cell
space group: P6_3/mcm, No. 193


Version 2
Crystalline Y5Re4 at its relaxed geometry, computed with PBE-GGA.

Lattice parameters (Å, degrees): 7.7432 7.7432 7.7432 92.72 92.72 154.85
With the nearest neighbours (Å) after each atom.
Fractional coordinates of all 9 atoms:
Y: 0.0000 0.0000 0.0000  10 Y 3.07-3.37
Y: 0.3306 0.3306 0.6613  4 Y 2.96-3.07, 4 Re 3.21
Y: 0.3306 0.6694 0.0000  4 Y 2.96-3.07, 4 Re 3.21
Y: 0.6694 0.3306 0.0000  4 Y 2.96-3.07, 4 Re 3.21
Y: 0.6694 0.6694 0.3387  4 Y 2.96-3.07, 4 Re 3.21
Re: 0.0000 0.3612 0.3612  5 Re 2.69-2.97
Re: 0.0000 0.6388 0.6388  5 Re 2.69-2.97
Re: 0.3612 0.0000 0.3612  5 Re 2.69-2.97
Re: 0.6388 0.0000 0.6388  5 Re 2.69-2.97

## Properties
volume: 192.6 Å³/cell
space group: I4/mmm, No. 139


Quick one: least stable of them? version 1


Version 1
Crystalline YZn2Re at its relaxed geometry, computed with PBE-GGA.

Lattice parameters (Å, degrees): 5.2668 5.2668 5.2668 135.00 135.00 65.53
With the nearest neighbours (Å) after each atom.
Fractional coordinates of all 4 atoms:
Re: 0.5000 0.5000 0.0000  8 Zn 2.85-2.99, 4 Y 2.99
Y: 0.7500 0.2500 0.5000  8 Zn 2.85-2.99, 4 Re 2.99
Zn: 0.0000 0.0000 0.0000  4 Re 2.85, 4 Zn 2.99, 4 Y 2.99
Zn: 0.2500 0.7500 0.5000  4 Y 2.85, 4 Zn 2.99, 4 Re 2.99

## Properties
volume: 72.0 Å³/cell
space group: I-4m2, No. 119


Version 2
Crystalline YZn2Re at its relaxed geometry, computed with PBE-GGA.

Lattice parameters (Å, degrees): 4.1539 4.1597 4.1398 90.00 90.00 90.00
With the nearest neighbours (Å) after each atom.
Fractional coordinates of all 4 atoms:
Re: 0.5000 0.0000 0.5000  8 Zn 2.93, 4 Y 2.94
Y: 0.0000 0.5000 0.5000  8 Zn 2.93, 4 Re 2.94
Zn: 0.0000 0.0000 0.0000  4 Re 2.93, 4 Y 2.93, 4 Zn 2.94
Zn: 0.5000 0.5000 0.0000  4 Y 2.93, 4 Re 2.93, 4 Zn 2.94

## Properties
volume: 71.5 Å³/cell
space group: P4/mmm, No. 123


Quick one: least stable of them? version 1


Version 1
Crystalline Y2Zr2Re at its relaxed geometry, computed with PBE-GGA.

Lattice parameters (Å, degrees): 6.8817 6.8817 5.3106 90.00 90.00 90.00
With the nearest neighbours (Å) after each atom.
Fractional coordinates of all 10 atoms:
Y: 0.1734 0.6734 0.5000  6 Zr 3.17-3.47, 1 Y 3.37
Y: 0.6734 0.8266 0.5000  6 Zr 3.17-3.47, 1 Y 3.37
Y: 0.8266 0.3266 0.5000  6 Zr 3.17-3.47, 1 Y 3.37
Y: 0.3266 0.1734 0.5000  6 Zr 3.17-3.47, 1 Y 3.37
Re: 0.0000 0.0000 0.0000  4 Zr 2.62
Re: 0.5000 0.5000 0.0000  4 Zr 2.62
Zr: 0.3505 0.8505 0.0000  2 Re 2.62, 1 Zr 2.91
Zr: 0.8505 0.6495 0.0000  2 Re 2.62, 1 Zr 2.91
Zr: 0.6495 0.1495 0.0000  2 Re 2.62, 1 Zr 2.91
Zr: 0.1495 0.3505 0.0000  2 Re 2.62, 1 Zr 2.91

## Properties
volume: 251.5 Å³/cell
space group: P4/mbm, No. 127


Version 2
Crystalline Y2Zr2Re at its relaxed geometry, computed with PBE-GGA.

Lattice parameters (Å, degrees): 3.7412 3.7412 9.8906 79.10 79.10 90.00
With the nearest neighbours (Å) after each atom.
Fractional coordinates of all 5 atoms:
Y: 0.4173 0.4173 0.1655  4 Re 3.08, 1 Y 3.15
Y: 0.5827 0.5827 0.8345  4 Re 3.08, 1 Y 3.15
Re: 0.0000 0.0000 0.0000  8 Y 3.08
Zr: 0.7500 0.2500 0.5000  4 Zr 2.65
Zr: 0.2500 0.7500 0.5000  4 Zr 2.65

## Properties
volume: 133.4 Å³/cell
space group: I4/mmm, No. 139


Version 3
Crystalline Y2Zr2Re at its relaxed geometry, computed with PBE-GGA.

Lattice parameters (Å, degrees): 6.9926 6.9926 5.1047 90.00 90.00 90.00
With the nearest neighbours (Å) after each atom.
Fractional coordinates of all 10 atoms:
Y: 0.3494 0.8494 0.0000  2 Re 2.66, 1 Y 2.98
Y: 0.8494 0.6506 0.0000  2 Re 2.66, 1 Y 2.98
Y: 0.6506 0.1506 0.0000  2 Re 2.66, 1 Y 2.98
Y: 0.1506 0.3494 0.0000  2 Re 2.66, 1 Y 2.98
Re: 0.0000 0.0000 0.0000  4 Y 2.66
Re: 0.5000 0.5000 0.0000  4 Y 2.66
Zr: 0.1636 0.6636 0.5000  6 Y 3.15-3.37, 1 Zr 3.23
Zr: 0.6636 0.8364 0.5000  6 Y 3.15-3.37, 1 Zr 3.23
Zr: 0.8364 0.3364 0.5000  6 Y 3.15-3.37, 1 Zr 3.23
Zr: 0.3364 0.1636 0.5000  6 Y 3.15-3.37, 1 Zr 3.23

## Properties
volume: 249.6 Å³/cell
space group: P4/mbm, No. 127


Quick one: least stable of them? version 2


Version 1
Crystalline ZnRe2 at its relaxed geometry, computed with PBE-GGA.

Lattice parameters (Å, degrees): 7.2409 7.2409 4.3948 90.00 90.00 157.72
With the nearest neighbours (Å) after each atom.
Fractional coordinates of all 6 atoms:
Zn: 0.8874 0.1126 0.2500  10 Re 2.65-2.80, 2 Zn 2.80
Zn: 0.1126 0.8874 0.7500  10 Re 2.65-2.80, 2 Zn 2.80
Re: 0.2170 0.7830 0.2500  4 Zn 2.65-2.80, 8 Re 2.72-2.80
Re: 0.4468 0.5532 0.7500  6 Re 2.67-2.80, 6 Zn 2.74
Re: 0.5532 0.4468 0.2500  6 Re 2.67-2.80, 6 Zn 2.74
Re: 0.7830 0.2170 0.7500  4 Zn 2.65-2.80, 8 Re 2.72-2.80

## Properties
volume: 87.4 Å³/cell
space group: Cmcm, No. 63


Version 2
Crystalline ZnRe2 at its relaxed geometry, computed with PBE-GGA.

Lattice parameters (Å, degrees): 4.9170 4.9170 4.9170 103.10 103.10 123.15
With the nearest neighbours (Å) after each atom.
Fractional coordinates of all 6 atoms:
Zn: 0.2500 0.2500 0.0000  2 Zn 2.34
Zn: 0.7500 0.7500 0.0000  2 Zn 2.34
Re: 0.3588 0.1412 0.5000  1 Re 2.44, 4 Zn 2.63
Re: 0.8588 0.3588 0.2177  1 Re 2.44, 4 Zn 2.63
Re: 0.1412 0.6412 0.7823  1 Re 2.44, 4 Zn 2.63
Re: 0.6412 0.8588 0.5000  1 Re 2.44, 4 Zn 2.63

## Properties
volume: 87.5 Å³/cell
space group: I4/mcm, No. 140


Quick one: least stable of them? version 2


Version 1
Crystalline ZnRe2 at its relaxed geometry, computed with PBE-GGA.

Lattice parameters (Å, degrees): 5.1911 5.1911 5.1911 60.00 60.00 60.00
With the nearest neighbours (Å) after each atom.
Fractional coordinates of all 6 atoms:
Zn: 0.7500 0.7500 0.7500  12 Re 3.04, 4 Zn 3.18
Zn: 0.5000 0.5000 0.5000  12 Re 3.04, 4 Zn 3.18
Re: 0.1250 0.1250 0.6250  6 Re 2.60
Re: 0.6250 0.1250 0.1250  6 Re 2.60
Re: 0.1250 0.6250 0.1250  6 Re 2.60
Re: 0.1250 0.1250 0.1250  6 Re 2.60

## Properties
volume: 98.9 Å³/cell
space group: Fd-3m, No. 227


Version 2
Crystalline ZnRe2 at its relaxed geometry, computed with PBE-GGA.

Lattice parameters (Å, degrees): 5.8692 5.8692 5.8692 90.00 90.00 90.00
With the nearest neighbours (Å) after each atom.
Fractional coordinates of all 12 atoms:
Re: 0.1156 0.6156 0.8844  1 Re 2.35, 3 Zn 2.45
Re: 0.1156 0.8844 0.3844  1 Re 2.35, 3 Zn 2.45
Re: 0.3844 0.1156 0.8844  1 Re 2.35, 3 Zn 2.45
Re: 0.3844 0.3844 0.3844  1 Re 2.35, 3 Zn 2.45
Re: 0.6156 0.6156 0.6156  1 Re 2.35, 3 Zn 2.45
Re: 0.6156 0.8844 0.1156  1 Re 2.35, 3 Zn 2.45
Re: 0.8844 0.1156 0.6156  1 Re 2.35, 3 Zn 2.45
Re: 0.8844 0.3844 0.1156  1 Re 2.35, 3 Zn 2.45
Zn: 0.0000 0.0000 0.0000  6 Re 2.45
Zn: 0.0000 0.5000 0.5000  6 Re 2.45
Zn: 0.5000 0.0000 0.5000  6 Re 2.45
Zn: 0.5000 0.5000 0.0000  6 Re 2.45

## Properties
volume: 202.2 Å³/cell
space group: Pa-3, No. 205


Quick one: least stable of them? version 2


Version 1
Crystalline ZnRe2 at its relaxed geometry, computed with PBE-GGA.

Lattice parameters (Å, degrees): 2.7867 2.7867 6.6689 90.00 90.00 120.00
With the nearest neighbours (Å) after each atom.
Fractional coordinates of all 3 atoms:
Re: 0.0000 0.0000 0.9901  9 Re 2.64-2.79, 3 Zn 2.80
Re: 0.3333 0.6667 0.6766  9 Re 2.64-2.79, 3 Zn 2.80
Zn: 0.6667 0.3333 0.3333  6 Zn 2.79, 6 Re 2.80

## Properties
volume: 44.9 Å³/cell
space group: P-3m1, No. 164


Version 2
Crystalline ZnRe2 at its relaxed geometry, computed with PBE-GGA.

Lattice parameters (Å, degrees): 7.3536 7.3536 2.7726 90.00 90.00 120.00
With the nearest neighbours (Å) after each atom.
Fractional coordinates of all 9 atoms:
Zn: 0.0000 0.0000 0.5000  9 Re 2.63-2.65, 2 Zn 2.77
Zn: 0.3333 0.6667 0.0000  9 Re 2.55-2.74, 2 Zn 2.77
Zn: 0.6667 0.3333 0.0000  9 Re 2.55-2.74, 2 Zn 2.77
Re: 0.0000 0.3076 0.0000  4 Zn 2.55-2.65, 8 Re 2.77-2.83
Re: 0.0000 0.6420 0.5000  5 Zn 2.63-2.74, 8 Re 2.77-2.83
Re: 0.3076 0.0000 0.0000  4 Zn 2.55-2.65, 8 Re 2.77-2.83
Re: 0.6924 0.6924 0.0000  4 Zn 2.55-2.65, 8 Re 2.77-2.83
Re: 0.6420 0.0000 0.5000  5 Zn 2.63-2.74, 8 Re 2.77-2.83
Re: 0.3580 0.3580 0.5000  5 Zn 2.63-2.74, 8 Re 2.77-2.83

## Properties
volume: 129.8 Å³/cell
space group: P-62m, No. 189


Version 3
Crystalline ZnRe2 at its relaxed geometry, computed with PBE-GGA.

Lattice parameters (Å, degrees): 4.4020 4.4020 5.2024 90.00 90.00 120.00
With the nearest neighbours (Å) after each atom.
Fractional coordinates of all 6 atoms:
Zn: 0.3333 0.6667 0.2500  5 Re 2.54-2.60
Zn: 0.6667 0.3333 0.7500  5 Re 2.54-2.60
Re: 0.0000 0.0000 0.0000  8 Re 2.60-2.85, 6 Zn 2.85
Re: 0.0000 0.0000 0.5000  8 Re 2.60-2.85, 6 Zn 2.85
Re: 0.3333 0.6667 0.7500  5 Zn 2.54-2.60
Re: 0.6667 0.3333 0.2500  5 Zn 2.54-2.60

## Properties
volume: 87.3 Å³/cell
space group: P6_3/mmc, No. 194


Version 4
Crystalline ZnRe2 at its relaxed geometry, computed with PBE-GGA.

Lattice parameters (Å, degrees): 12.3207 12.3207 12.3207 167.17 167.17 18.19
With the nearest neighbours (Å) after each atom.
Fractional coordinates of all 6 atoms:
Zn: 0.0000 0.0000 0.0000  4 Zn 2.75, 8 Re 2.78
Zn: 0.7500 0.2500 0.5000  4 Zn 2.75, 8 Re 2.78
Re: 0.3315 0.8315 0.5000  6 Re 2.52-2.75, 4 Zn 2.78
Re: 0.1685 0.6685 0.5000  6 Re 2.52-2.75, 4 Zn 2.78
Re: 0.5815 0.5815 0.0000  6 Re 2.52-2.75, 4 Zn 2.78
Re: 0.4185 0.4185 0.0000  6 Re 2.52-2.75, 4 Zn 2.78

## Properties
volume: 92.3 Å³/cell
space group: I4_1/amd, No. 141


Quick one: least stable of them? version 4